The following is a DFT calculation (GGA-PBE) of a geometry-optimized Y2Pt structure.

a b c (Å): 8.340 8.340 8.340
angles (deg): 90.00 90.00 90.00
Space group Fd-3m (No. 227, origin choice 2)
Asymmetric unit:
Y: 0.000 0.000 0.000 x16
Pt: 0.125 0.125 0.625 x8

magnetization	0.00	μB per cell
formation energy from the elements	0.325	eV/atom

***

The following is a DFT calculation (GGA-PBE) of a geometry-optimized YPt4 structure.

a b c (Å): 3.875 3.875 12.757
angles (deg): 90.00 90.00 90.00
Space group I4/mmm (No. 139)
Asymmetric unit:
Y: 0.000 0.000 0.000 x2
Pt: 0.000 0.000 0.401 x4
Pt: 0.000 0.500 0.250 x4

magnetization	0.00	μB per cell
formation energy from the elements	-0.593	eV/atom

***

Copy entry 1 word for word.
The following is a DFT calculation (GGA-PBE) of a geometry-optimized Y2Pt structure.

a b c (Å): 8.340 8.340 8.340
angles (deg): 90.00 90.00 90.00
Space group Fd-3m (No. 227, origin choice 2)
Asymmetric unit:
Y: 0.000 0.000 0.000 x16
Pt: 0.125 0.125 0.625 x8

magnetization	0.00	μB per cell
formation energy from the elements	0.325	eV/atom